[1]
Below is a crystal of CaMo2Pt relaxed with PBEsol, with properties calculated at the meta-GGA SCAN level.

* total magnetization: 0.000 μB per formula unit
* N(E_F): 3.412 states/eV/cell
* ΔH_f (0 K): 281 meV/atom

Cell lengths 2.705, 5.226, 5.542 Å; angles 114.68, 98.03, 102.79 degrees
Atoms (fractional coordinates):
Pt  0.500  0.000  0.000
Ca  0.000  0.500  0.000
Mo  0.500  0.500  0.500
Mo  0.000  0.000  0.500

---

[2]
Below is a crystal of YMgP2 relaxed with PBEsol, with properties calculated at the meta-GGA SCAN level.

* total magnetization: 0.000 μB per formula unit
* N(E_F): 2.796 states/eV/cell
* ΔH_f (0 K): -1009 meV/atom

Cell lengths 3.963, 3.968, 6.430 Å; angles 107.89, 90.00, 119.96 degrees
Atoms (fractional coordinates):
Y  0.500  0.000  0.000
Mg  0.000  0.000  0.500
P  0.747  0.494  0.741
P  0.253  0.506  0.259

---

[3]
Below is a crystal of MnP2PtCl relaxed with PBEsol, with properties calculated at the meta-GGA SCAN level.

* total magnetization: 3.644 μB per formula unit
* N(E_F): 3.028 states/eV/cell
* ΔE_f (raw): 0.476 eV per atom

Cell lengths 4.616, 4.616, 4.883 Å; angles 90.00, 90.00, 90.00 degrees
Atoms (fractional coordinates):
Cl  0.000  0.000  0.500
P  0.000  0.500  0.000
P  0.500  0.000  0.000
Mn  0.500  0.500  0.500
Pt  0.000  0.000  0.000

---

[4]
Below is a crystal of LaHg2Sb relaxed with PBEsol, with properties calculated at the meta-GGA SCAN level.

* total magnetization: 0.001 μB per formula unit
* N(E_F): 1.878 states/eV/cell
* ΔE_f (raw): -0.635 eV per atom

Cell lengths 4.595, 4.596, 5.843 Å; angles 113.17, 113.16, 90.00 degrees
Atoms (fractional coordinates):
Hg  0.750  0.750  0.500
Hg  0.250  0.250  0.500
La  0.000  0.500  0.000
Sb  0.500  0.000  0.000

---

[5]
Below is a crystal of TeSe2I relaxed with PBEsol, with properties calculated at the meta-GGA SCAN level.

* total magnetization: 0.000 μB per formula unit
* N(E_F): 1.814 states/eV/cell
* ΔE_f (raw): 0.096 eV per atom

Cell lengths 4.014, 4.014, 9.320 Å; angles 77.56, 77.56, 60.00 degrees
Atoms (fractional coordinates):
Te  0.500  0.500  0.500
I  0.000  0.000  0.000
Se  0.103  0.103  0.690
Se  0.897  0.897  0.310

---

[6]
Below is a crystal of Tc2NiAg relaxed with PBEsol, with properties calculated at the meta-GGA SCAN level.

* total magnetization: 0.000 μB per formula unit
* N(E_F): 3.557 states/eV/cell
* ΔH_f (0 K): 388 meV/atom

Cell lengths 3.814, 3.814, 4.602 Å; angles 114.48, 114.48, 90.00 degrees
Atoms (fractional coordinates):
Tc  0.750  0.250  0.500
Ni  0.250  0.750  0.500
Tc  0.000  0.000  0.000
Ag  0.500  0.500  0.000

---

[7]
Below is a crystal of Li2YCu relaxed with PBEsol, with properties calculated at the meta-GGA SCAN level.

* total magnetization: 0.000 μB per formula unit
* N(E_F): 1.664 states/eV/cell
* ΔH_f (0 K): 326 meV/atom

Cell lengths 3.105, 5.279, 5.279 Å; angles 117.17, 90.00, 90.00 degrees
Atoms (fractional coordinates):
Y  0.500  0.000  0.000
Cu  0.500  0.500  0.500
Li  0.000  0.000  0.500
Li  0.000  0.500  0.000

---

[8]
Below is a crystal of Te2RhW relaxed with PBEsol, with properties calculated at the meta-GGA SCAN level.

* total magnetization: 0.000 μB per formula unit
* N(E_F): 4.227 states/eV/cell
* ΔE_f (raw): 0.838 eV per atom

Cell lengths 3.134, 3.134, 8.567 Å; angles 90.00, 90.00, 114.49 degrees
Atoms (fractional coordinates):
Te  0.000  0.000  0.755
W  0.500  0.500  0.500
Rh  0.500  0.500  0.000
Te  0.000  0.000  0.245

---

[9]
Below is a crystal of CaZnCl relaxed with PBEsol, with properties calculated at the meta-GGA SCAN level.

* total magnetization: 0.000 μB per formula unit
* N(E_F): 1.550 states/eV/cell
* ΔE_f (raw): -0.675 eV per atom

Cell lengths 4.742, 4.742, 4.742 Å; angles 60.00, 60.00, 60.00 degrees
Atoms (fractional coordinates):
Ca  0.500  0.500  0.500
Zn  0.000  0.000  0.000
Cl  0.750  0.750  0.750

---

[10]
Below is a crystal of LaAg4 relaxed with PBEsol, with properties calculated at the meta-GGA SCAN level.

* total magnetization: 0.000 μB per formula unit
* N(E_F): 9.077 states/eV/cell
* ΔH_f (0 K): -170 meV/atom

Cell lengths 8.221, 8.221, 8.221 Å; angles 109.47, 109.47, 109.47 degrees
Atoms (fractional coordinates):
Ag  0.500  0.750  0.250
La  0.000  0.424  0.000
Ag  0.000  0.354  0.354
Ag  0.000  0.000  0.789
Ag  0.750  0.250  0.500
Ag  0.500  0.250  0.750
Ag  0.789  0.000  0.000
Ag  0.354  0.000  0.354
La  0.576  0.576  0.576
Ag  0.250  0.500  0.750
Ag  0.250  0.750  0.500
Ag  0.354  0.354  0.000
Ag  0.211  0.211  0.211
La  0.424  0.000  0.000
La  0.000  0.000  0.424
Ag  0.000  0.646  0.646
Ag  0.750  0.500  0.250
Ag  0.646  0.000  0.646
Ag  0.000  0.789  0.000
Ag  0.646  0.646  0.000

---

[11]
Below is a crystal of TaAl2Os relaxed with PBEsol, with properties calculated at the meta-GGA SCAN level.

* total magnetization: 0.003 μB per formula unit
* N(E_F): 1.539 states/eV/cell
* ΔH_f (0 K): -496 meV/atom

Cell lengths 3.122, 3.122, 6.127 Å; angles 90.00, 90.00, 90.00 degrees
Atoms (fractional coordinates):
Al  0.500  0.500  0.262
Al  0.000  0.000  0.010
Ta  0.500  0.500  0.745
Os  0.000  0.000  0.483

---

[12]
Below is a crystal of ZrNiAs2 relaxed with PBEsol, with properties calculated at the meta-GGA SCAN level.

* total magnetization: 0.000 μB per formula unit
* N(E_F): 1.801 states/eV/cell
* ΔH_f (0 K): -307 meV/atom

Cell lengths 4.495, 4.495, 4.495 Å; angles 60.00, 60.00, 60.00 degrees
Atoms (fractional coordinates):
As  0.750  0.750  0.750
Ni  0.000  0.000  0.000
As  0.250  0.250  0.250
Zr  0.500  0.500  0.500